No. 1
The following is a DFT calculation (PBE-GGA) of a relaxed Nd5Y5Th2 crystal.

Properties
Uncorrected energy, eV/atom: -5.885
Symmetry: C2/m (12)
Formation energy, meV per atom: 32
Fermi-level density of states, states/eV/f.u.: 17.067
Crystal system: monoclinic

a b c (Å): 8.096 8.096 11.490
angles (deg): 115.31 115.31 36.78
Element x y z (fractional)
Nd  0.000  0.000  0.000
Nd  0.081  0.081  0.747
Nd  0.251  0.251  0.256
Nd  0.749  0.749  0.744
Nd  0.919  0.919  0.253
Y  0.333  0.333  0.998
Y  0.414  0.414  0.744
Y  0.500  0.500  0.500
Y  0.586  0.586  0.256
Y  0.667  0.667  0.002
Th  0.169  0.169  0.499
Th  0.831  0.831  0.501


No. 2
The following is a DFT calculation (PBE-GGA) of a relaxed Nd10Y6Th crystal.

Properties
Uncorrected energy, eV/atom: -5.372
Symmetry: P-31m (162)
Formation energy, meV per atom: 151
Fermi-level density of states, states/eV/f.u.: 27.307
Crystal system: trigonal

a b c (Å): 9.866 9.866 7.001
angles (deg): 90.00 90.00 120.00
Element x y z (fractional)
Nd  0.000  0.277  0.324
Nd  0.000  0.723  0.676
Nd  0.277  0.000  0.324
Nd  0.277  0.277  0.676
Nd  0.333  0.667  0.000
Nd  0.333  0.667  0.500
Nd  0.667  0.333  0.000
Nd  0.667  0.333  0.500
Nd  0.723  0.000  0.676
Nd  0.723  0.723  0.324
Y  0.000  0.363  0.819
Y  0.000  0.637  0.181
Y  0.363  0.000  0.819
Y  0.363  0.363  0.181
Y  0.637  0.000  0.181
Y  0.637  0.637  0.819
Th  0.000  0.000  0.000


No. 3
The following is a DFT calculation (PBE-GGA) of a relaxed NdY6Th crystal.

Properties
Uncorrected energy, eV/atom: -6.148
Symmetry: P-1 (2)
Formation energy, meV per atom: 224
Fermi-level density of states, states/eV/f.u.: 16.106
E above lowest polymorph, meV per atom: 193
Crystal system: triclinic

a b c (Å): 6.587 6.828 6.868
angles (deg): 61.58 79.14 89.74
Element x y z (fractional)
Nd  0.000  0.000  0.000
Y  0.235  0.574  0.516
Y  0.253  0.544  0.002
Y  0.270  0.090  0.480
Y  0.730  0.910  0.520
Y  0.747  0.456  0.998
Y  0.765  0.426  0.484
Th  0.500  0.000  0.000


No. 4
The following is a DFT calculation (PBE-GGA) of a relaxed Nd2YTh crystal.

Properties
Uncorrected energy, eV/atom: -5.796
Symmetry: I-4m2 (119)
Formation energy, meV per atom: 59
Fermi-level density of states, states/eV/f.u.: 5.310
E above lowest polymorph, meV per atom: 31
Crystal system: tetragonal

a b c (Å): 6.274 6.274 6.274
angles (deg): 131.78 131.78 70.58
Element x y z (fractional)
Nd  0.000  0.000  0.000
Nd  0.750  0.250  0.500
Y  0.500  0.500  0.000
Th  0.250  0.750  0.500


No. 5
The following is a DFT calculation (PBE-GGA) of a relaxed Nd3YTh crystal.

Properties
Uncorrected energy, eV/atom: -5.292
Symmetry: R-3c (167)
Formation energy, meV per atom: 345
Fermi-level density of states, states/eV/f.u.: 12.079
E above lowest polymorph, meV per atom: 185
Crystal system: trigonal

a b c (Å): 7.060 7.060 7.060
angles (deg): 90.43 90.43 90.43
Element x y z (fractional)
Nd  0.078  0.750  0.422
Nd  0.250  0.578  0.922
Nd  0.422  0.078  0.750
Nd  0.578  0.922  0.250
Nd  0.750  0.422  0.078
Nd  0.922  0.250  0.578
Y  0.250  0.250  0.250
Y  0.750  0.750  0.750
Th  0.000  0.000  0.000
Th  0.500  0.500  0.500


No. 6
The following is a DFT calculation (PBE-GGA) of a relaxed Nd2ThZn crystal.

Properties
Uncorrected energy, eV/atom: -4.546
Symmetry: R3m (160)
Formation energy, meV per atom: 11
Fermi-level density of states, states/eV/f.u.: 6.136
E above lowest polymorph, meV per atom: 148
Crystal system: trigonal

a b c (Å): 10.845 10.845 10.845
angles (deg): 19.30 19.30 19.30
Element x y z (fractional)
Nd  0.000  0.000  0.000
Nd  0.187  0.187  0.187
Th  0.427  0.427  0.427
Zn  0.593  0.593  0.593


No. 7
The following is a DFT calculation (PBE-GGA) of a relaxed NdThZn crystal.

Properties
Uncorrected energy, eV/atom: -4.425
Symmetry: P3m1 (156)
Formation energy, meV per atom: 62
Fermi-level density of states, states/eV/f.u.: 2.385
E above lowest polymorph, meV per atom: 184
Crystal system: trigonal

a b c (Å): 5.054 5.054 3.710
angles (deg): 90.00 90.00 120.00
Element x y z (fractional)
Nd  0.000  0.000  0.000
Th  0.333  0.667  0.586
Zn  0.667  0.333  0.291


No. 8
The following is a DFT calculation (PBE-GGA) of a relaxed Nd3ThZn8 crystal.

Properties
Uncorrected energy, eV/atom: -2.933
Symmetry: P3m1 (156)
Formation energy, meV per atom: -273
Fermi-level density of states, states/eV/f.u.: 7.912
Crystal system: trigonal

a b c (Å): 5.666 5.666 8.846
angles (deg): 90.00 90.00 120.00
Element x y z (fractional)
Nd  0.000  0.000  0.000
Nd  0.000  0.000  0.379
Nd  0.333  0.667  0.897
Th  0.333  0.667  0.519
Zn  0.003  0.502  0.202
Zn  0.331  0.166  0.697
Zn  0.498  0.502  0.202
Zn  0.498  0.997  0.202
Zn  0.667  0.333  0.450
Zn  0.667  0.333  0.950
Zn  0.834  0.166  0.697
Zn  0.834  0.669  0.697


No. 9
The following is a DFT calculation (PBE-GGA) of a relaxed Nd3ThZn4 crystal.

Properties
Uncorrected energy, eV/atom: -3.625
Symmetry: Pmmm (47)
Formation energy, meV per atom: -272
Fermi-level density of states, states/eV/f.u.: 8.197
Crystal system: orthorhombic

a b c (Å): 3.666 5.206 10.430
angles (deg): 90.00 90.00 90.00
Element x y z (fractional)
Nd  0.000  0.000  0.000
Nd  0.000  0.500  0.252
Nd  0.000  0.500  0.748
Th  0.000  0.000  0.500
Zn  0.500  0.000  0.250
Zn  0.500  0.000  0.750
Zn  0.500  0.500  0.000
Zn  0.500  0.500  0.500


No. 10
The following is a DFT calculation (PBE-GGA) of a relaxed Nd2ThZn crystal.

Properties
Uncorrected energy, eV/atom: -4.694
Symmetry: P4/mmm (123)
Formation energy, meV per atom: -137
Fermi-level density of states, states/eV/f.u.: 4.225
E above lowest polymorph, meV per atom: 0
Crystal system: tetragonal

a b c (Å): 3.646 3.646 8.758
angles (deg): 90.00 90.00 90.00
Element x y z (fractional)
Nd  0.000  0.000  0.217
Nd  0.000  0.000  0.783
Th  0.500  0.500  0.500
Zn  0.500  0.500  0.000


No. 11
The following is a DFT calculation (PBE-GGA) of a relaxed Nd2ThZn crystal.

Properties
Uncorrected energy, eV/atom: -4.581
Symmetry: R-3m (166)
Formation energy, meV per atom: -24
Fermi-level density of states, states/eV/f.u.: 5.150
E above lowest polymorph, meV per atom: 113
Crystal system: trigonal

a b c (Å): 10.706 10.706 10.706
angles (deg): 19.63 19.63 19.63
Element x y z (fractional)
Nd  0.242  0.242  0.242
Nd  0.758  0.758  0.758
Th  0.000  0.000  0.000
Zn  0.500  0.500  0.500


No. 12
The following is a DFT calculation (PBE-GGA) of a relaxed NdThZn crystal.

Properties
Uncorrected energy, eV/atom: -4.599
Symmetry: I4mm (107)
Formation energy, meV per atom: -111
Fermi-level density of states, states/eV/f.u.: 3.164
E above lowest polymorph, meV per atom: 11
Crystal system: tetragonal

a b c (Å): 6.775 6.775 6.775
angles (deg): 148.55 148.55 45.08
Element x y z (fractional)
Nd  0.000  0.000  0.000
Th  0.297  0.297  0.000
Zn  0.649  0.649  0.000